Record 1
ZrPb2Se: optimized geometry, GGA-PBE.

Computed properties:
Uncorrected energy in eV/atom: -4.8194
Total magnetization in Bohr magnetons per cell: 1.9
Space-group type: F-43m, No. 216
V in Å³ per atom: 25.71

Unit cell a=7.4374 b=7.4374 c=7.4374 alpha=90.00 beta=90.00 gamma=90.00
Fractional coordinates of all 16 atoms:
Zr1 0.0000 0.0000 0.0000
Zr2 0.0000 0.5000 0.5000
Zr3 0.5000 0.0000 0.5000
Zr4 0.5000 0.5000 0.0000
Pb1 0.0000 0.0000 0.5000
Pb2 0.0000 0.5000 0.0000
Pb3 0.2500 0.2500 0.2500
Pb4 0.2500 0.7500 0.7500
Pb5 0.5000 0.0000 0.0000
Pb6 0.5000 0.5000 0.5000
Pb7 0.7500 0.2500 0.7500
Pb8 0.7500 0.7500 0.2500
Se1 0.2500 0.2500 0.7500
Se2 0.2500 0.7500 0.2500
Se3 0.7500 0.2500 0.2500
Se4 0.7500 0.7500 0.7500


Record 2
Tb6Dy5Ho2: optimized geometry, GGA-PBE.

Computed properties:
Total magnetization in Bohr magnetons per cell: 0.0
Formation energy in meV/atom: 98
Space-group type: Pbam, No. 55
V in Å³ per atom: 32.00

Unit cell a=11.5724 b=20.1757 c=3.5637 alpha=90.00 beta=90.00 gamma=90.00
Fractional coordinates of all 26 atoms:
Tb1 0.0596 0.0808 0.0000
Tb2 0.0832 0.3682 0.0000
Tb3 0.1724 0.6357 0.5000
Tb4 0.3276 0.1357 0.5000
Tb5 0.4168 0.8682 0.0000
Tb6 0.4404 0.5808 0.0000
Tb7 0.5596 0.4192 0.0000
Tb8 0.5832 0.1318 0.0000
Tb9 0.6724 0.8643 0.5000
Tb10 0.8276 0.3643 0.5000
Tb11 0.9168 0.6318 0.0000
Tb12 0.9404 0.9192 0.0000
Dy1 0.0000 0.5000 0.5000
Dy2 0.0904 0.2266 0.5000
Dy3 0.1982 0.9486 0.5000
Dy4 0.3018 0.4486 0.5000
Dy5 0.4096 0.7266 0.5000
Dy6 0.5000 0.0000 0.5000
Dy7 0.5904 0.2734 0.5000
Dy8 0.6982 0.5514 0.5000
Dy9 0.8018 0.0514 0.5000
Dy10 0.9096 0.7734 0.5000
Ho1 0.1669 0.7900 0.0000
Ho2 0.3331 0.2900 0.0000
Ho3 0.6669 0.7100 0.0000
Ho4 0.8331 0.2100 0.0000


Record 3
SrLuCuHg: optimized geometry, GGA-PBE.

Computed properties:
Total magnetization in Bohr magnetons per cell: 0.0
Formation energy in meV/atom: -182
Space-group type: F-43m, No. 216
V in Å³ per atom: 25.44

Unit cell a=7.4107 b=7.4107 c=7.4107 alpha=90.00 beta=90.00 gamma=90.00
Fractional coordinates of all 16 atoms:
Sr1 0.0000 0.0000 0.0000
Sr2 0.0000 0.5000 0.5000
Sr3 0.5000 0.0000 0.5000
Sr4 0.5000 0.5000 0.0000
Lu1 0.0000 0.0000 0.5000
Lu2 0.0000 0.5000 0.0000
Lu3 0.5000 0.0000 0.0000
Lu4 0.5000 0.5000 0.5000
Cu1 0.2500 0.2500 0.7500
Cu2 0.2500 0.7500 0.2500
Cu3 0.7500 0.2500 0.2500
Cu4 0.7500 0.7500 0.7500
Hg1 0.2500 0.2500 0.2500
Hg2 0.2500 0.7500 0.7500
Hg3 0.7500 0.2500 0.7500
Hg4 0.7500 0.7500 0.2500


Record 4
Cs3LiS2: optimized geometry, GGA-PBE.

Computed properties:
Uncorrected energy in eV/atom: -3.1318
Total magnetization in Bohr magnetons per cell: 0.0
Space-group type: Ibam, No. 72
V in Å³ per atom: 36.00

Unit cell a=9.1491 b=9.1491 c=9.1491 alpha=125.97 beta=73.26 gamma=134.48
Fractional coordinates of all 12 atoms:
Cs1 0.1740 0.6864 0.8604
Cs2 0.2500 0.2500 0.0000
Cs3 0.3260 0.1864 0.5124
Cs4 0.6740 0.8136 0.4876
Cs5 0.7500 0.7500 0.0000
Cs6 0.8260 0.3136 0.1396
Li1 0.2500 0.7500 0.5000
Li2 0.7500 0.2500 0.5000
S1 0.0910 0.3146 0.4056
S2 0.4090 0.8146 0.2236
S3 0.5910 0.1854 0.7764
S4 0.9090 0.6854 0.5944


Record 5
LaTmSc4: optimized geometry, GGA-PBE.

Computed properties:
Total magnetization in Bohr magnetons per cell: 0.0
Formation energy in meV/atom: 69
Space-group type: C2/c, No. 15
V in Å³ per atom: 27.20

Unit cell a=9.8525 b=9.8525 c=5.3551 alpha=90.01 beta=90.01 gamma=141.11
Fractional coordinates of all 12 atoms:
La1 0.1232 0.8768 0.7500
La2 0.8768 0.1232 0.2500
Tm1 0.3730 0.6270 0.2500
Tm2 0.6270 0.3730 0.7500
Sc1 0.0433 0.4606 0.7500
Sc2 0.2144 0.2982 0.7511
Sc3 0.2982 0.2144 0.2511
Sc4 0.4606 0.0433 0.2500
Sc5 0.5394 0.9567 0.7500
Sc6 0.7018 0.7856 0.7489
Sc7 0.7856 0.7018 0.2489
Sc8 0.9567 0.5394 0.2500


Record 6
ZrOsBr2: optimized geometry, GGA-PBE.

Computed properties:
Total magnetization in Bohr magnetons per cell: 3.9
Space-group type: Immm, No. 71
V in Å³ per atom: 28.01
ΔE to the lowest computed polymorph in meV per atom: 291

Unit cell a=3.3852 b=4.3685 c=15.1518 alpha=90.00 beta=90.00 gamma=90.00
Fractional coordinates of all 8 atoms:
Zr1 0.0000 0.0000 0.0000
Zr2 0.5000 0.5000 0.5000
Os1 0.0000 0.0000 0.5000
Os2 0.5000 0.5000 0.0000
Br1 0.0000 0.5000 0.3527
Br2 0.0000 0.5000 0.6473
Br3 0.5000 0.0000 0.1473
Br4 0.5000 0.0000 0.8527


Record 7
CdCuBr2: optimized geometry, GGA-PBE.

Computed properties:
Total magnetization in Bohr magnetons per cell: 0.0
Space-group type: P4mm, No. 99
V in Å³ per atom: 26.21
ΔE to the lowest computed polymorph in meV per atom: 186

Unit cell a=4.1039 b=4.1039 c=6.2244 alpha=90.00 beta=90.00 gamma=90.00
Fractional coordinates of all 4 atoms:
Cd1 0.0000 0.0000 0.0000
Cu1 0.5000 0.5000 0.4512
Br1 0.0000 0.0000 0.5230
Br2 0.5000 0.5000 0.0576


Record 8
Nd2MgSn3Ir4: optimized geometry, GGA-PBE.

Computed properties:
Total magnetization in Bohr magnetons per cell: 0.0
Formation energy in meV/atom: -541
Space-group type: P-4m2, No. 115
V in Å³ per atom: 21.50

Unit cell a=4.3396 b=4.3396 c=11.4155 alpha=90.00 beta=90.00 gamma=90.00
Fractional coordinates of all 10 atoms:
Nd1 0.0000 0.5000 0.2460
Nd2 0.5000 0.0000 0.7540
Mg1 0.0000 0.0000 0.5000
Sn1 0.0000 0.5000 0.8695
Sn2 0.5000 0.0000 0.1305
Sn3 0.5000 0.5000 0.5000
Ir1 0.0000 0.0000 0.0000
Ir2 0.0000 0.5000 0.6406
Ir3 0.5000 0.0000 0.3594
Ir4 0.5000 0.5000 0.0000


Record 9
PuRhN: optimized geometry, GGA-PBE.

Computed properties:
Uncorrected energy in eV/atom: -10.0284
Total magnetization in Bohr magnetons per cell: 8.0
Space-group type: I4mm, No. 107
V in Å³ per atom: 17.15

Unit cell a=4.0257 b=4.0257 c=6.3510 alpha=90.00 beta=90.00 gamma=90.00
Fractional coordinates of all 6 atoms:
Pu1 0.0000 0.0000 0.0000
Pu2 0.5000 0.5000 0.5000
Rh1 0.0000 0.0000 0.3764
Rh2 0.5000 0.5000 0.8764
N1 0.0000 0.0000 0.6903
N2 0.5000 0.5000 0.1903


Record 10
Cu4SnAu: optimized geometry, GGA-PBE.

Computed properties:
Total magnetization in Bohr magnetons per cell: 0.0
Formation energy in meV/atom: 36
Space-group type: C2/m, No. 12
V in Å³ per atom: 15.01
ΔE to the lowest computed polymorph in meV per atom: 52

Unit cell a=4.6309 b=4.6309 c=9.0600 alpha=105.69 beta=105.69 gamma=86.29
Fractional coordinates of all 12 atoms:
Cu1 0.0755 0.0755 0.1698
Cu2 0.1794 0.6362 0.3151
Cu3 0.3638 0.8206 0.6849
Cu4 0.4070 0.4070 0.8305
Cu5 0.5930 0.5930 0.1695
Cu6 0.6362 0.1794 0.3151
Cu7 0.8206 0.3638 0.6849
Cu8 0.9245 0.9245 0.8302
Sn1 0.2330 0.2330 0.5000
Sn2 0.7670 0.7670 0.5000
Au1 0.0000 0.5000 0.0000
Au2 0.5000 0.0000 0.0000


Record 11
ZnSiMo: optimized geometry, GGA-PBE.

Computed properties:
Total magnetization in Bohr magnetons per cell: 0.0
Space-group type: I4mm, No. 107
V in Å³ per atom: 15.08
ΔE to the lowest computed polymorph in meV per atom: 228

Unit cell a=2.6850 b=2.6850 c=12.5478 alpha=90.00 beta=90.00 gamma=90.00
Fractional coordinates of all 6 atoms:
Zn1 0.0000 0.0000 0.0000
Zn2 0.5000 0.5000 0.5000
Si1 0.0000 0.0000 0.3235
Si2 0.5000 0.5000 0.8235
Mo1 0.0000 0.0000 0.6670
Mo2 0.5000 0.5000 0.1670


Record 12
Pm6Si2TeCl3: optimized geometry, GGA-PBE.

Computed properties:
Uncorrected energy in eV/atom: -5.2580
Total magnetization in Bohr magnetons per cell: 0.0
Space-group type: C2/m, No. 12
V in Å³ per atom: 26.92

Unit cell a=9.3787 b=9.3787 c=8.4092 alpha=100.20 beta=100.20 gamma=26.37
Fractional coordinates of all 12 atoms:
Pm1 0.0145 0.0145 0.2757
Pm2 0.3245 0.3245 0.8791
Pm3 0.3299 0.3299 0.4256
Pm4 0.6701 0.6701 0.5744
Pm5 0.6755 0.6755 0.1209
Pm6 0.9855 0.9855 0.7243
Si1 0.1700 0.1700 0.3415
Si2 0.8300 0.8300 0.6585
Te1 0.5000 0.5000 0.0000
Cl1 0.1623 0.1623 0.8388
Cl2 0.5000 0.5000 0.5000
Cl3 0.8377 0.8377 0.1612


Record 13
ScNb5Re6: optimized geometry, GGA-PBE.

Computed properties:
Total magnetization in Bohr magnetons per cell: 0.0
Formation energy in meV/atom: -255
Space-group type: Immm, No. 71
V in Å³ per atom: 16.53

Unit cell a=7.8579 b=7.8579 c=7.8579 alpha=146.42 beta=131.75 gamma=60.06
Fractional coordinates of all 12 atoms:
Sc1 0.0000 0.0000 0.0000
Nb1 0.1654 0.6654 0.5000
Nb2 0.3335 0.3335 0.0000
Nb3 0.5000 0.0000 0.5000
Nb4 0.6665 0.6665 0.0000
Nb5 0.8346 0.3346 0.5000
Re1 0.0835 0.8313 0.2522
Re2 0.2545 0.5000 0.7545
Re3 0.4209 0.1687 0.2522
Re4 0.5791 0.8313 0.7478
Re5 0.7455 0.5000 0.2455
Re6 0.9165 0.1687 0.7478


Record 14
OsPtSN2: optimized geometry, GGA-PBE.

Computed properties:
Total magnetization in Bohr magnetons per cell: 0.6
Space-group type: P4/mmm, No. 123
V in Å³ per atom: 14.92
ΔE to the lowest computed polymorph in meV per atom: 0

Unit cell a=3.7162 b=3.7162 c=5.4013 alpha=90.00 beta=90.00 gamma=90.00
Fractional coordinates of all 5 atoms:
Os1 0.0000 0.0000 0.0000
Pt1 0.5000 0.5000 0.5000
S1 0.0000 0.0000 0.5000
N1 0.0000 0.5000 0.0000
N2 0.5000 0.0000 0.0000


Record 15
AlSiHgAs2: optimized geometry, GGA-PBE.

Computed properties:
Uncorrected energy in eV/atom: -3.0258
Total magnetization in Bohr magnetons per cell: 0.0
Space-group type: P4/mmm, No. 123
V in Å³ per atom: 24.24

Unit cell a=4.8690 b=4.8690 c=5.1119 alpha=90.00 beta=90.00 gamma=90.00
Fractional coordinates of all 5 atoms:
Al1 0.0000 0.0000 0.0000
Si1 0.5000 0.5000 0.5000
Hg1 0.0000 0.0000 0.5000
As1 0.0000 0.5000 0.0000
As2 0.5000 0.0000 0.0000


Record 16
Pu2F5: optimized geometry, GGA-PBE.

Computed properties:
Total magnetization in Bohr magnetons per cell: 22.0
Space-group type: C2/c, No. 15
V in Å³ per atom: 15.06
ΔE to the lowest computed polymorph in meV per atom: 3

Unit cell a=6.9747 b=6.9747 c=6.9113 alpha=99.19 beta=99.19 gamma=39.53
Fractional coordinates of all 14 atoms:
Pu1 0.0835 0.6918 0.9161
Pu2 0.3082 0.9165 0.5839
Pu3 0.6918 0.0835 0.4161
Pu4 0.9165 0.3082 0.0839
F1 0.1254 0.3123 0.8340
F2 0.1366 0.8634 0.2500
F3 0.2452 0.5896 0.5689
F4 0.3123 0.1254 0.3340
F5 0.4104 0.7548 0.9311
F6 0.5896 0.2452 0.0689
F7 0.6877 0.8746 0.6660
F8 0.7548 0.4104 0.4311
F9 0.8634 0.1366 0.7500
F10 0.8746 0.6877 0.1660